! MnNi2PtC PBE relaxed; values from VASP
! DOS at the Fermi energy: 4.90 states/eV/f.u.
! magnetization: 3.60 μB per cell
&SYSTEM
  ibrav = 0, nat = 5, ntyp = 4
/
ATOMIC_SPECIES
C 12.01 C.upf
Pt 195.08 Pt.upf
Mn 54.94 Mn.upf
Ni 58.69 Ni.upf
CELL_PARAMETERS angstrom
-0.636 1.964 3.208
0.593 -3.161 2.052
3.813 0.864 0.228
ATOMIC_POSITIONS angstrom
C 0.000 0.000 0.000
Pt 1.885 -0.167 2.744
Mn 1.906 0.432 0.114
Ni -0.318 0.982 1.604
Ni 0.297 -1.580 1.026

! Sc2MnNiC PBE relaxed; values from VASP
! DOS at the Fermi energy: 3.00 states/eV/f.u.
! magnetization: 2.12 μB per cell
&SYSTEM
  ibrav = 0, nat = 5, ntyp = 4
/
ATOMIC_SPECIES
Ni 58.69 Ni.upf
Sc 44.96 Sc.upf
C 12.01 C.upf
Mn 54.94 Mn.upf
CELL_PARAMETERS angstrom
4.509 0.000 0.000
0.000 4.509 0.000
0.000 0.000 3.693
ATOMIC_POSITIONS angstrom
Ni 2.254 2.254 1.847
Sc 0.000 2.254 0.000
Sc 2.254 0.000 0.000
C 0.000 0.000 0.000
Mn 0.000 0.000 1.847

! ScMnNi2C PBE relaxed; values from VASP
! DOS at the Fermi energy: 2.19 states/eV/f.u.
! magnetization: 0.09 μB per cell
&SYSTEM
  ibrav = 0, nat = 5, ntyp = 4
/
ATOMIC_SPECIES
Mn 54.94 Mn.upf
Ni 58.69 Ni.upf
C 12.01 C.upf
Sc 44.96 Sc.upf
CELL_PARAMETERS angstrom
-1.571 -3.470 -0.619
1.994 -1.433 2.977
-2.898 0.890 2.369
ATOMIC_POSITIONS angstrom
Mn -1.449 0.445 1.185
Ni -0.785 -1.735 -0.309
Ni 0.997 -0.717 1.489
C 0.000 0.000 0.000
Sc -1.238 -2.007 2.364

! Mn2NiSnC PBE relaxed; values from VASP
! DOS at the Fermi energy: 2.91 states/eV/f.u.
! magnetization: 3.42 μB per cell
&SYSTEM
  ibrav = 0, nat = 5, ntyp = 4
/
ATOMIC_SPECIES
Mn 54.94 Mn.upf
C 12.01 C.upf
Ni 58.69 Ni.upf
Sn 118.71 Sn.upf
CELL_PARAMETERS angstrom
3.878 0.000 0.000
0.000 3.878 0.000
0.000 0.000 3.991
ATOMIC_POSITIONS angstrom
Mn 0.000 1.939 0.000
Mn 1.939 0.000 0.000
C 0.000 0.000 0.000
Ni 0.000 0.000 1.996
Sn 1.939 1.939 1.996

! MnNi2SnC PBE relaxed; values from VASP
! DOS at the Fermi energy: 2.59 states/eV/f.u.
! magnetization: 1.25 μB per cell
&SYSTEM
  ibrav = 0, nat = 5, ntyp = 4
/
ATOMIC_SPECIES
Ni 58.69 Ni.upf
Mn 54.94 Mn.upf
C 12.01 C.upf
Sn 118.71 Sn.upf
CELL_PARAMETERS angstrom
-2.971 -2.487 0.398
2.518 -2.948 0.373
0.063 0.540 3.847
ATOMIC_POSITIONS angstrom
Ni 1.259 -1.474 0.186
Ni -1.485 -1.244 0.199
Mn 0.031 0.270 1.924
C 0.000 0.000 0.000
Sn -0.195 -2.447 2.309

! MnTlNiC2 PBE relaxed; values from VASP
! DOS at the Fermi energy: 2.79 states/eV/f.u.
! magnetization: 0.59 μB per cell
&SYSTEM
  ibrav = 0, nat = 5, ntyp = 4
/
ATOMIC_SPECIES
C 12.01 C.upf
Ni 58.69 Ni.upf
Mn 54.94 Mn.upf
Tl 204.38 Tl.upf
CELL_PARAMETERS angstrom
-2.827 1.999 1.288
-3.203 -3.789 -1.149
0.507 -1.448 3.361
ATOMIC_POSITIONS angstrom
C -1.414 1.000 0.644
C 0.254 -0.724 1.681
Ni -1.601 -1.895 -0.575
Mn 0.000 0.000 0.000
Tl -2.762 -1.619 1.750

! MnTlNi2C PBE relaxed; values from VASP
! DOS at the Fermi energy: 4.22 states/eV/f.u.
! magnetization: 1.59 μB per cell
&SYSTEM
  ibrav = 0, nat = 5, ntyp = 4
/
ATOMIC_SPECIES
Ni 58.69 Ni.upf
Tl 204.38 Tl.upf
Mn 54.94 Mn.upf
C 12.01 C.upf
CELL_PARAMETERS angstrom
-1.220 -1.675 -3.373
-1.763 -2.880 2.067
-3.269 2.101 0.139
ATOMIC_POSITIONS angstrom
Ni -0.610 -0.837 -1.687
Ni -0.881 -1.440 1.034
Tl -3.126 -1.227 -0.583
Mn -1.634 1.050 0.070
C 0.000 0.000 0.000

! YMnNi2C PBE relaxed; values from VASP
! DOS at the Fermi energy: 2.98 states/eV/f.u.
! magnetization: 0.53 μB per cell
&SYSTEM
  ibrav = 0, nat = 5, ntyp = 4
/
ATOMIC_SPECIES
C 12.01 C.upf
Y 88.91 Y.upf
Ni 58.69 Ni.upf
Mn 54.94 Mn.upf
CELL_PARAMETERS angstrom
3.990 0.000 0.000
0.000 3.990 0.000
0.000 0.000 3.919
ATOMIC_POSITIONS angstrom
C 0.000 0.000 0.000
Y 1.995 1.995 1.960
Ni 0.000 1.995 0.000
Ni 1.995 0.000 0.000
Mn 0.000 0.000 1.960

! YMnNiC2 PBE relaxed; values from VASP
! DOS at the Fermi energy: 3.37 states/eV/f.u.
! magnetization: 2.64 μB per cell
&SYSTEM
  ibrav = 0, nat = 5, ntyp = 4
/
ATOMIC_SPECIES
Mn 54.94 Mn.upf
Y 88.91 Y.upf
Ni 58.69 Ni.upf
C 12.01 C.upf
CELL_PARAMETERS angstrom
3.851 0.000 0.000
0.000 4.951 0.000
0.000 0.000 3.851
ATOMIC_POSITIONS angstrom
Mn 1.925 2.475 1.925
Y 0.000 2.475 0.000
Ni 0.000 0.000 0.000
C 0.000 0.000 1.925
C 1.925 0.000 0.000

! MnZnNi2C PBE relaxed; values from VASP
! DOS at the Fermi energy: 3.12 states/eV/f.u.
! magnetization: 1.42 μB per cell
&SYSTEM
  ibrav = 0, nat = 5, ntyp = 4
/
ATOMIC_SPECIES
Ni 58.69 Ni.upf
Mn 54.94 Mn.upf
C 12.01 C.upf
Zn 65.41 Zn.upf
CELL_PARAMETERS angstrom
3.804 0.000 0.000
0.000 3.804 0.000
0.000 0.000 3.771
ATOMIC_POSITIONS angstrom
Ni 1.902 0.000 0.000
Ni 0.000 1.902 0.000
Mn 0.000 0.000 1.885
C 0.000 0.000 0.000
Zn 1.902 1.902 1.885

! Mn2ZnNiC PBE relaxed; values from VASP
! DOS at the Fermi energy: 3.61 states/eV/f.u.
! magnetization: 4.23 μB per cell
&SYSTEM
  ibrav = 0, nat = 5, ntyp = 4
/
ATOMIC_SPECIES
C 12.01 C.upf
Ni 58.69 Ni.upf
Mn 54.94 Mn.upf
Zn 65.41 Zn.upf
CELL_PARAMETERS angstrom
3.837 0.000 0.000
0.000 3.837 0.000
0.000 0.000 3.814
ATOMIC_POSITIONS angstrom
C 0.000 0.000 0.000
Ni 0.000 0.000 1.907
Mn 1.919 0.000 0.000
Mn 0.000 1.919 0.000
Zn 1.919 1.919 1.907

! Np2Mn2C3 PBE relaxed; values from VASP
! DOS at the Fermi energy: 9.10 states/eV/f.u.
! magnetization: 1.73 μB per cell
&SYSTEM
  ibrav = 0, nat = 7, ntyp = 3
/
ATOMIC_SPECIES
Mn 54.94 Mn.upf
Np 237.00 Np.upf
C 12.01 C.upf
CELL_PARAMETERS angstrom
-2.171 0.503 2.033
-3.574 -0.307 -3.740
2.535 -5.166 1.747
ATOMIC_POSITIONS angstrom
Mn -0.665 -1.705 -0.288
Mn -2.545 -3.266 0.328
Np -3.515 -0.836 -1.309
Np 0.305 -4.135 1.349
C -1.265 -2.290 1.454
C -1.945 -2.681 -1.414
C 0.000 0.000 0.000

Sequential formation energy output: 31.6, -288.3, -242.9, -20.9, -10.1, 1248.8, 185.4, -103.7, 1580.4, -34.8, -29.9, -107.4 meV/atom